Here is a relaxed structure of Nb2BH from the Alexandria database. Energies are from PBEsol.

It has space group I-42d (No. 122), with a = 5.682 Å, b = 5.682 Å, c = 5.600 Å, α = 90.00°, β = 90.00° and γ = 90.00°. The asymmetric unit holds Nb at (0.210, 0.250, 0.125), B at (0.000, 0.000, 0.500) and H at (0.000, 0.000, 0.000).

The theoretical density comes out at 7.26 g/cm3. The crystal system is tetragonal. As for the total energy: -8.101 eV per atom.